DFT (PBE) results for a relaxed structure of LaNiMo2.

```
LaNiMo2
1.0
-3.260 -3.479 -0.473
1.050 -1.500 3.796
-2.446 1.904 2.851
Ni Mo La
1 2 1
Cartesian
-1.979 -1.639 1.426
-0.106 0.031 0.506
-0.592 0.171 2.818
-2.676 -1.437 4.749
```

Results
The space-group type is Cmmm (65). The calculation puts the density of states at the Fermi level at 3.79 states/eV/cell. The value obtained for the offset from the most stable computed form is 180 meV/atom. The formation energy comes out at 397 meV/atom.


DFT (PBE) results for a relaxed structure of La8As3PBr4.

```
La8As3PBr4
1.0
-8.493 -0.757 1.686
0.841 -8.786 0.289
5.017 4.947 5.090
La As Br P
8 3 4 1
Cartesian
0.958 -4.152 2.959
-1.792 -2.614 0.597
-3.273 -4.503 3.893
0.638 -0.093 3.172
-0.843 -1.982 6.469
-6.192 -3.006 1.470
3.556 -1.590 5.595
-3.593 -0.443 4.106
-1.318 -2.298 3.533
-3.826 -4.771 0.988
2.929 -1.919 2.689
2.509 2.474 2.545
-4.247 -0.379 0.843
0.000 0.000 0.000
-1.738 2.095 3.388
0.420 -4.393 0.145
```

Results
The space-group type is R-3m (166). The calculation puts the density of states at the Fermi level at 6.42 states/eV/cell. For the uncorrected energy, the calculation gives -90.4 eV/cell.


DFT (PBE) results for a relaxed structure of GaSbMo2.

```
GaSbMo2
1.0
-4.034 -1.906 0.990
-3.809 2.522 -0.117
-3.084 -0.670 -3.306
Ga Sb Mo
1 1 2
Cartesian
0.000 0.000 0.000
-5.464 -0.027 -1.216
-8.195 -0.041 -1.824
-2.732 -0.014 -0.608
```

Results
The space-group type is Fm-3m (225). The calculation puts the density of states at the Fermi level at 6.21 states/eV/cell. The value obtained for the offset from the most stable computed form is 0 meV/atom.


DFT (PBE) results for a relaxed structure of ReHO2.

```
ReHO2
1.0
3.817 -3.479 1.516
5.131 -1.627 -0.071
4.603 -1.048 2.587
O Re H
2 1 1
Cartesian
12.501 -5.677 3.719
1.051 -0.477 0.313
6.776 -3.077 2.016
0.000 0.000 0.000
```

Results
The space-group type is R-3m (166). The calculation puts the density of states at the Fermi level at 0.69 states/eV/cell. The value obtained for the offset from the most stable computed form is 0 meV/atom.


DFT (PBE) results for a relaxed structure of Tm2ScTc.

```
Tm2ScTc
1.0
5.112 0.000 0.000
0.000 7.331 0.001
-2.556 -1.835 5.486
Tm Tc Sc
4 2 2
Cartesian
-0.002 3.665 2.001
0.002 -0.001 2.001
2.558 1.831 3.486
2.554 5.497 3.487
5.083 1.833 0.000
0.029 5.499 0.001
2.583 5.499 0.001
2.529 1.833 0.000
```

Results
The space-group type is C2/c (15). The calculation puts the density of states at the Fermi level at 3.99 states/eV/cell. The value obtained for the offset from the most stable computed form is 191 meV/atom. The formation energy comes out at 35 meV/atom.


DFT (PBE) results for a relaxed structure of SiSb2Pd6.

```
SiSb2Pd6
1.0
-2.602 -0.334 -2.451
3.383 -5.400 -2.856
-4.654 -1.093 5.090
Pd Sb Si
6 2 1
Cartesian
2.243 -5.667 -1.608
-4.204 -0.849 1.950
0.829 -1.324 -0.700
0.809 -3.535 -3.006
-1.779 -2.609 -0.385
-0.960 -4.902 1.687
0.704 -3.965 -0.207
-1.975 -2.528 2.441
-1.301 -0.167 -1.226
```

Results
The space-group type is P-62m (189). The calculation puts the density of states at the Fermi level at 4.55 states/eV/cell. For the uncorrected energy, the calculation gives -49.6 eV/cell.


DFT (PBE) results for a relaxed structure of BiPbBr2.

```
BiPbBr2
1.0
-5.343 -0.899 1.001
-2.214 1.605 4.784
-3.530 4.230 0.121
Bi Br Pb
1 2 1
Cartesian
-5.544 2.468 2.953
-8.316 3.702 4.429
-2.772 1.234 1.476
0.000 0.000 0.000
```

Results
The space-group type is Fm-3m (225). The calculation puts the density of states at the Fermi level at 4.09 states/eV/cell. The value obtained for the offset from the most stable computed form is 277 meV/atom.


DFT (PBE) results for a relaxed structure of TcOs2Br.

```
TcOs2Br
1.0
4.449 -0.006 0.000
0.015 4.449 0.000
-2.232 -2.222 3.138
Br Tc Os
1 1 2
Cartesian
2.223 -0.002 1.569
2.233 2.220 0.000
0.016 4.448 0.000
0.006 2.226 1.569
```

Results
The space-group type is F222 (22). The calculation puts the density of states at the Fermi level at 2.51 states/eV/cell. The value obtained for the offset from the most stable computed form is 542 meV/atom.


DFT (PBE) results for a relaxed structure of Nb3WS8.

```
Nb3WS8
1.0
-2.905 -1.486 0.576
2.089 -1.260 -2.242
10.176 -16.355 18.671
Nb S W
3 8 1
Cartesian
6.133 -8.807 8.214
1.614 -5.146 4.395
-0.815 -2.747 -1.665
6.737 -14.887 14.642
3.794 -8.001 8.031
9.927 -16.807 16.244
1.099 -2.218 -0.178
2.713 -7.365 4.217
1.364 -5.599 1.968
5.432 -13.179 12.466
5.143 -9.766 10.279
7.749 -13.957 12.614
```

Results
The space-group type is R3m (160). The calculation puts the density of states at the Fermi level at 9.65 states/eV/cell. For the uncorrected energy, the calculation gives -87.7 eV/cell.


DFT (PBE) results for a relaxed structure of Sm2Se.

```
Sm2Se
1.0
4.066 0.000 0.000
-2.033 6.943 -0.834
-0.001 -2.155 9.746
Sm Se
6 3
Cartesian
-0.001 2.795 8.039
-0.002 -1.241 6.966
2.034 1.993 0.873
2.032 1.086 4.868
0.001 3.702 4.044
2.034 6.029 1.946
0.001 4.098 1.105
0.000 0.000 0.000
2.032 0.690 7.807
```

Results
The space-group type is C2/m (12). The calculation puts the density of states at the Fermi level at 7.52 states/eV/cell. For the uncorrected energy, the calculation gives -48.8 eV/cell.


DFT (PBE) results for a relaxed structure of Ho2InSn4.

```
Ho2InSn4
1.0
-3.505 -2.535 -0.826
0.574 -2.049 3.856
-5.875 6.681 4.425
In Sn Ho
1 4 2
Cartesian
-1.465 -2.292 1.515
-2.919 0.059 0.466
-2.938 3.340 2.212
-4.422 4.329 5.474
-4.403 1.048 3.727
-1.197 0.662 3.045
-6.144 3.726 2.895
```

Results
The space-group type is P-4m2 (115). The calculation puts the density of states at the Fermi level at 4.50 states/eV/cell. The value obtained for the offset from the most stable computed form is 19 meV/atom. The formation energy comes out at -369 meV/atom.


DFT (PBE) results for a relaxed structure of ZnSbPb2.

```
ZnSbPb2
1.0
-0.012 4.566 -1.561
-1.843 -1.603 -4.676
-4.103 0.486 1.451
Sb Pb Zn
1 2 1
Cartesian
-2.057 2.526 -0.055
0.000 0.000 0.000
-0.927 1.482 -3.118
-2.973 -0.559 -1.613
```

Results
The space-group type is Pmmm (47). The calculation puts the density of states at the Fermi level at 1.50 states/eV/cell. The value obtained for the offset from the most stable computed form is 33 meV/atom.


| no. | magnetization (μB/f.u.) |
| --- | --- |
| 1 | 0.00 |
| 2 | 0.00 |
| 3 | 0.00 |
| 4 | 0.00 |
| 5 | 0.00 |
| 6 | 0.00 |
| 7 | 0.00 |
| 8 | 0.00 |
| 9 | 0.00 |
| 10 | 0.00 |
| 11 | 0.00 |
| 12 | 0.00 |